1.
Density functional theory data (GGA-PBE) for a relaxed structure of La4Sm3S8.

distance to the lowest polymorph of the same formula	218	meV per atom
formation energy without anion corrections	-1.8751	eV/atom

Geometry as POSCAR:
```
La4Sm3S8
1.0
3.995 2.306 7.511
-3.995 2.306 7.511
0.000 -4.613 7.511
La Sm S
4 3 8
Direct
0.000 0.000 0.000 La
0.149 0.149 0.149 La
0.500 0.500 0.500 La
0.851 0.851 0.851 La
0.000 0.500 0.500 Sm
0.500 0.000 0.500 Sm
0.500 0.500 0.000 Sm
0.250 0.250 0.740 S
0.250 0.740 0.250 S
0.260 0.750 0.750 S
0.269 0.269 0.269 S
0.731 0.731 0.731 S
0.740 0.250 0.250 S
0.750 0.260 0.750 S
0.750 0.750 0.260 S
```

2.
Density functional theory data (GGA-PBE) for a relaxed structure of Pm15Ho4Tl.

E_form	-23	meV/atom

Geometry as POSCAR:
```
Pm15Ho4Tl
1.0
5.074 0.000 0.000
0.000 5.074 0.000
0.000 0.000 25.623
Pm Ho Tl
15 4 1
Direct
0.000 0.000 0.000 Pm
0.000 0.000 0.197 Pm
0.000 0.000 0.399 Pm
0.000 0.000 0.601 Pm
0.000 0.000 0.803 Pm
0.000 0.500 0.098 Pm
0.000 0.500 0.299 Pm
0.000 0.500 0.500 Pm
0.000 0.500 0.701 Pm
0.000 0.500 0.902 Pm
0.500 0.000 0.098 Pm
0.500 0.000 0.299 Pm
0.500 0.000 0.500 Pm
0.500 0.000 0.701 Pm
0.500 0.000 0.902 Pm
0.500 0.500 0.199 Ho
0.500 0.500 0.400 Ho
0.500 0.500 0.600 Ho
0.500 0.500 0.801 Ho
0.500 0.500 0.000 Tl
```